Computed, not measured: a relaxed NdScPa2P4 crystal at the PBE level of DFT.

Cell: 3.979 6.859 6.887 Å, 70.46 90.00 90.00°
Fractional positions:
Nd  0.500  0.500  0.000
Sc  0.000  0.500  0.500
Pa  0.000  0.000  0.000
Pa  0.500  0.000  0.500
P  0.000  0.756  0.737
P  0.000  0.244  0.263
P  0.500  0.749  0.261
P  0.500  0.251  0.739

Properties
Volume in A^3/atom: 22.142
VASP energy in eV for the cell shown: -62.73
SG: P2/m
Crystal system: monoclinic
Energy of formation in eV per atom: -1.375
Total magnetic moment in Bohr magnetons per cell: 0.0